A plane-wave DFT calculation with PBE-GGA was carried out for a geometry-optimized CeThCBr structure.

Values from the calculation:
**Density of states at the Fermi level**: 4.44 states/eV/f.u.
**Formation energy from raw total energies**: -825 meV per atom

Cell: 3.691 3.698 8.027 Å, 89.99 103.28 120.06°
Each line ends with the local moment (μB).
Fractional positions:
1 Br 0.971 0.383 0.369  0.00
2 Th 0.092 0.944 0.052  0.03
3 Ce 0.514 0.155 0.685  0.77
4 C 0.300 0.548 0.864  -0.02